BeNiW2 | PBE | optimized geometry

a = 2.7097 Å, b = 3.5851 Å, c = 5.3730 Å
α = 90.00°, β = 90.00°, γ = 90.00°
Positions (direct):
Be1 0.0000 0.0000 0.0000
Ni1 0.0000 0.0000 0.5000
W1 0.5000 0.5000 0.2422
W2 0.5000 0.5000 0.7578

formation energy = 0.6 eV/f.u.
ρ = 13851 kg/m3